Below is crystalline HoTh3C3 at its relaxed geometry, with properties calculated at the PBE-GGA level.

Computed properties:
VASP energy in eV per atom: -8.01
Spin magnetization in μB/f.u.: 0.000
Excess energy over the best structure of this formula in the dataset in eV/atom: 0.000

```
HoTh3C3
1.0
5.2154 0.0000 0.0000
0.0000 5.2154 0.0000
0.0000 0.0000 5.2154
Ho Th C
1 3 3
Direct
0.0000 0.0000 0.0000 Ho
0.0000 0.5000 0.5000 Th
0.5000 0.0000 0.5000 Th
0.5000 0.5000 0.0000 Th
0.0000 0.0000 0.5000 C
0.0000 0.5000 0.0000 C
0.5000 0.0000 0.0000 C
```

---

Below is crystalline Ho2Th2C3 at its relaxed geometry, with properties calculated at the PBE-GGA level.

Computed properties:
VASP energy in eV per atom: -7.64
Spin magnetization in μB/f.u.: 0.000

```
Ho2Th2C3
1.0
13.4869 0.0000 0.0000
0.0000 3.6435 0.0000
-2.5269 0.0000 5.7130
Ho Th C
4 4 6
Direct
0.1409 0.0000 0.3275 Ho
0.3591 0.5000 0.6725 Ho
0.6409 0.5000 0.3275 Ho
0.8591 0.0000 0.6725 Ho
0.1244 0.5000 0.7918 Th
0.3756 0.0000 0.2082 Th
0.6244 0.0000 0.7918 Th
0.8756 0.5000 0.2082 Th
0.0000 0.0000 0.5000 C
0.2413 0.5000 0.2420 C
0.2587 0.0000 0.7580 C
0.5000 0.5000 0.5000 C
0.7413 0.0000 0.2420 C
0.7587 0.5000 0.7580 C
```

---

Below is crystalline HoTh3C8 at its relaxed geometry, with properties calculated at the PBE-GGA level.

Computed properties:
VASP energy in eV per atom: -8.45
Spin magnetization in μB/f.u.: 0.000

```
HoTh3C8
1.0
4.3009 -4.6415 0.0000
4.3009 4.6415 0.0000
-4.2345 0.0000 5.0591
Ho Th C
1 3 8
Direct
0.0000 0.0000 0.0000 Ho
0.1831 0.8169 0.5000 Th
0.4329 0.5671 0.0000 Th
0.7237 0.2763 0.5000 Th
0.0401 0.5853 0.9889 C
0.1256 0.3926 0.4580 C
0.1582 0.1997 0.4806 C
0.4004 0.1760 0.0270 C
0.4147 0.9599 0.0111 C
0.6074 0.8744 0.5420 C
0.8003 0.8418 0.5194 C
0.8240 0.5996 0.9730 C
```

---

Below is crystalline HoTh2C at its relaxed geometry, with properties calculated at the PBE-GGA level.

Computed properties:
VASP energy in eV per atom: -7.16
Spin magnetization in μB/f.u.: 0.000

```
HoTh2C
1.0
3.5679 0.0000 0.0000
-1.7840 3.0899 0.0000
0.0000 0.0000 29.5540
Ho Th C
3 6 3
Direct
0.0000 0.0000 0.0000 Ho
0.3333 0.6667 0.6667 Ho
0.6667 0.3333 0.3333 Ho
0.0000 0.0000 0.1163 Th
0.0000 0.0000 0.8837 Th
0.3333 0.6667 0.5503 Th
0.3333 0.6667 0.7830 Th
0.6667 0.3333 0.2170 Th
0.6667 0.3333 0.4497 Th
0.0000 0.0000 0.5000 C
0.3333 0.6667 0.1667 C
0.6667 0.3333 0.8333 C
```

---

Below is crystalline HoTh5C6 at its relaxed geometry, with properties calculated at the PBE-GGA level.

Computed properties:
VASP energy in eV per atom: -8.33
Spin magnetization in μB/f.u.: 0.000

```
HoTh5C6
1.0
3.2450 -5.6210 0.0000
3.2450 5.6210 0.0000
-2.1667 0.0000 6.1219
Ho Th C
1 5 6
Direct
0.0000 0.0000 0.0000 Ho
0.1656 0.8344 0.5000 Th
0.3330 0.6670 0.0000 Th
0.5000 0.5000 0.5000 Th
0.6670 0.3330 0.0000 Th
0.8344 0.1656 0.5000 Th
0.0842 0.4195 0.2515 C
0.2526 0.2526 0.7504 C
0.4195 0.0842 0.2515 C
0.5805 0.9158 0.7485 C
0.7474 0.7474 0.2496 C
0.9158 0.5805 0.7485 C
```

---

Below is crystalline HoThC at its relaxed geometry, with properties calculated at the PBE-GGA level.

Computed properties:
VASP energy in eV per atom: -7.32
Spin magnetization in μB/f.u.: 0.000
Excess energy over the best structure of this formula in the dataset in eV/atom: 0.000

```
HoThC
1.0
6.2747 0.0000 0.0000
0.0000 7.1800 0.0000
-0.0362 0.0000 6.2214
Ho Th C
4 4 4
Direct
0.2153 0.1243 0.4203 Ho
0.2153 0.3757 0.9203 Ho
0.7847 0.6243 0.0797 Ho
0.7847 0.8757 0.5797 Ho
0.2321 0.6262 0.4136 Th
0.2321 0.8738 0.9136 Th
0.7679 0.1262 0.0864 Th
0.7679 0.3738 0.5864 Th
0.0027 0.6250 0.7458 C
0.0027 0.8750 0.2458 C
0.9973 0.1250 0.7542 C
0.9973 0.3750 0.2542 C
```

---

Below is crystalline HoTh3C3 at its relaxed geometry, with properties calculated at the PBE-GGA level.

Computed properties:
VASP energy in eV per atom: -7.86
Spin magnetization in μB/f.u.: 0.000
Excess energy over the best structure of this formula in the dataset in eV/atom: 0.156

```
HoTh3C3
1.0
4.1872 -7.2442 0.0000
4.1872 7.2442 0.0000
0.0000 0.0000 5.3721
Ho Th C
2 6 6
Direct
0.1668 0.8332 0.7500 Ho
0.8332 0.1668 0.2500 Ho
0.1576 0.3285 0.7500 Th
0.3285 0.1576 0.2500 Th
0.3291 0.6709 0.2500 Th
0.6709 0.3291 0.7500 Th
0.6715 0.8424 0.7500 Th
0.8424 0.6715 0.2500 Th
0.1720 0.3356 0.2500 C
0.3356 0.1720 0.7500 C
0.3363 0.6637 0.7500 C
0.6637 0.3363 0.2500 C
0.6644 0.8280 0.2500 C
0.8280 0.6644 0.7500 C
```

---

Below is crystalline HoThC at its relaxed geometry, with properties calculated at the PBE-GGA level.

Computed properties:
VASP energy in eV per atom: -6.81
Spin magnetization in μB/f.u.: 0.000
Excess energy over the best structure of this formula in the dataset in eV/atom: 0.505

```
HoThC
1.0
3.2475 0.0000 0.0000
0.0000 3.2475 0.0000
0.0000 0.0000 11.9981
Ho Th C
2 2 2
Direct
0.0000 0.0000 0.0000 Ho
0.5000 0.5000 0.5000 Ho
0.0000 0.0000 0.7627 Th
0.5000 0.5000 0.2627 Th
0.0000 0.0000 0.3747 C
0.5000 0.5000 0.8747 C
```